! Pm2Dy3Ho8 PBE-GGA relaxed; values from VASP
! - DFT total energy: -4.52 eV per atom
! - DFT formation energy: 0.087 eV/atom
! - Excess energy over the best structure of this formula in the dataset: 0.000 eV per atom
! - Density of states at the Fermi level: 38.71 states/eV/cell
&SYSTEM
  ibrav = 0, nat = 26, ntyp = 3
/
ATOMIC_SPECIES
Pm 145.00 Pm.upf
Ho 164.93 Ho.upf
Dy 162.50 Dy.upf
CELL_PARAMETERS angstrom
3.531 0.000 0.003
0.000 12.007 0.000
-0.018 0.000 19.730
ATOMIC_POSITIONS crystal
Pm 0.501 0.819 0.117
Pm 0.499 0.181 0.883
Pm 0.499 0.319 0.383
Pm 0.501 0.681 0.617
Ho 0.501 0.602 0.366
Ho 0.500 0.539 0.078
Ho 0.500 0.645 0.794
Ho 0.500 0.145 0.706
Ho 0.501 0.898 0.866
Ho 0.000 0.796 0.459
Ho 0.500 0.855 0.294
Ho 0.500 0.039 0.422
Ho 0.000 0.296 0.041
Ho 0.500 0.461 0.922
Ho 0.000 0.204 0.541
Ho 0.499 0.398 0.634
Ho 0.500 0.355 0.206
Ho 0.500 0.961 0.578
Ho 0.000 0.704 0.959
Ho 0.499 0.102 0.134
Dy 0.000 0.000 0.000
Dy 0.000 0.380 0.782
Dy 0.000 0.620 0.218
Dy 0.000 0.880 0.718
Dy 0.000 0.500 0.500
Dy 0.000 0.120 0.282